w) # KBa2Re

A relaxed KBa2Re crystal (PBEsol, Alexandria via LeMat-Bulk).

Unit cell a=5.490 b=5.490 c=4.475 alpha=90.00 beta=90.00 gamma=90.00
Space group P4/mmm (No. 123)
Inequivalent atoms, fractional coordinates:
K: 0.000 0.000 0.000 [1 per cell]
Ba: 0.000 0.500 0.500 [2 per cell]
Re: 0.500 0.500 0.000 [1 per cell]

x) # KBa2Re

A relaxed KBa2Re crystal (PBEsol, Alexandria via LeMat-Bulk).

Unit cell a=3.523 b=5.266 c=18.230 alpha=90.00 beta=90.00 gamma=90.00
Space group Imm2 (No. 44)
Inequivalent atoms, fractional coordinates:
K: 0.000 0.000 0.000 [2 per cell]
Ba: 0.000 0.000 0.687 [2 per cell]
Ba: 0.000 0.500 0.845 [2 per cell]
Re: 0.000 0.500 0.326 [2 per cell]

Least stable: w)

w) # LiTiSiO4

A relaxed LiTiSiO4 crystal (PBEsol, Alexandria via LeMat-Bulk).

Unit cell a=10.197 b=5.847 c=4.749 alpha=90.00 beta=90.00 gamma=90.00
Space group Pnma (No. 62)
Inequivalent atoms, fractional coordinates:
Li: 0.000 0.000 0.000 [4 per cell]
Ti: 0.227 0.250 0.500 [4 per cell]
Si: 0.094 0.750 0.443 [4 per cell]
O: 0.053 0.250 0.694 [4 per cell]
O: 0.098 0.750 0.783 [4 per cell]
O: 0.174 0.535 0.290 [8 per cell]

x) # LiTiSiO4

A relaxed LiTiSiO4 crystal (PBEsol, Alexandria via LeMat-Bulk).

Unit cell a=5.592 b=8.370 c=5.861 alpha=90.00 beta=90.00 gamma=90.00
Space group Cmcm (No. 63)
Inequivalent atoms, fractional coordinates:
Li: 0.000 0.159 0.250 [4 per cell]
Ti: 0.000 0.500 0.000 [4 per cell]
Si: 0.000 0.152 0.750 [4 per cell]
O: 0.000 0.267 0.527 [8 per cell]
O: 0.232 0.027 0.750 [8 per cell]

Least stable: w)

w) # KSc2Rh

A relaxed KSc2Rh crystal (PBEsol, Alexandria via LeMat-Bulk).

Unit cell a=3.8922 b=3.8922 c=27.2226 alpha=90.00 beta=90.00 gamma=120.00
Space group R-3m (No. 166, hexagonal axes)
Inequivalent atoms, fractional coordinates:
K: 0.0000 0.0000 0.0000 [3 per cell]
Sc: 0.0000 0.0000 0.2121 [6 per cell]
Rh: 0.0000 0.0000 0.5000 [3 per cell]

x) # KSc2Rh

A relaxed KSc2Rh crystal (PBEsol, Alexandria via LeMat-Bulk).

Unit cell a=3.260 b=3.260 c=9.839 alpha=90.00 beta=90.00 gamma=90.00
Space group P4/mmm (No. 123)
Inequivalent atoms, fractional coordinates:
K: 0.000 0.000 0.000 [1 per cell]
Sc: 0.500 0.500 0.349 [2 per cell]
Rh: 0.000 0.000 0.500 [1 per cell]

Least stable: w)

w) # MnPbBr2

A relaxed MnPbBr2 crystal (PBEsol, Alexandria via LeMat-Bulk).

Unit cell a=3.530 b=6.264 c=9.509 alpha=90.00 beta=90.00 gamma=90.00
Space group Cmmm (No. 65)
Inequivalent atoms, fractional coordinates:
Mn: 0.000 0.000 0.000 [2 per cell]
Pb: 0.000 0.000 0.500 [2 per cell]
Br: 0.000 0.500 0.192 [4 per cell]

x) # MnPbBr2

A relaxed MnPbBr2 crystal (PBEsol, Alexandria via LeMat-Bulk).

Unit cell a=11.179 b=3.502 c=5.771 alpha=90.00 beta=111.56 gamma=90.00
Space group Cm (No. 8)
Inequivalent atoms, fractional coordinates:
Mn: 0.000 0.000 0.000 [2 per cell]
Pb: 0.275 0.000 0.984 [2 per cell]
Br: 0.135 0.500 0.312 [2 per cell]
Br: 0.432 0.000 0.646 [2 per cell]

Least stable: w)

w) # SrRe2Au

A relaxed SrRe2Au crystal (PBEsol, Alexandria via LeMat-Bulk).

Unit cell a=5.554 b=10.308 c=2.706 alpha=90.00 beta=112.04 gamma=90.00
Space group C2/m (No. 12)
Inequivalent atoms, fractional coordinates:
Sr: 0.000 0.000 0.000 [2 per cell]
Re: 0.250 0.250 0.500 [4 per cell]
Au: 0.000 0.500 0.000 [2 per cell]

x) # SrRe2Au

A relaxed SrRe2Au crystal (PBEsol, Alexandria via LeMat-Bulk).

Unit cell a=2.729 b=2.729 c=9.556 alpha=90.00 beta=90.00 gamma=90.00
Space group P4/mmm (No. 123)
Inequivalent atoms, fractional coordinates:
Sr: 0.000 0.000 0.000 [1 per cell]
Re: 0.500 0.500 0.279 [2 per cell]
Au: 0.000 0.000 0.500 [1 per cell]

Least stable: x)

w) # SiWBr2

A relaxed SiWBr2 crystal (PBEsol, Alexandria via LeMat-Bulk).

Unit cell a=3.2557 b=3.2557 c=25.8808 alpha=90.00 beta=90.00 gamma=120.00
Space group R3m (No. 160, hexagonal axes)
Inequivalent atoms, fractional coordinates:
Si: 0.0000 0.0000 0.0000 [3 per cell]
W: 0.0000 0.0000 0.2692 [3 per cell]
Br: 0.0000 0.0000 0.5320 [3 per cell]
Br: 0.0000 0.0000 0.7403 [3 per cell]

x) # SiWBr2

A relaxed SiWBr2 crystal (PBEsol, Alexandria via LeMat-Bulk).

Unit cell a=4.295 b=4.295 c=7.613 alpha=90.00 beta=90.00 gamma=90.00
Space group I-4m2 (No. 119)
Inequivalent atoms, fractional coordinates:
Si: 0.000 0.000 0.000 [2 per cell]
W: 0.000 0.500 0.750 [2 per cell]
Br: 0.000 0.000 0.500 [2 per cell]
Br: 0.000 0.500 0.250 [2 per cell]

Least stable: x)

w) # ZnWBr2

A relaxed ZnWBr2 crystal (PBEsol, Alexandria via LeMat-Bulk).

Unit cell a=3.114 b=3.114 c=7.937 alpha=90.00 beta=90.00 gamma=90.00
Space group P4mm (No. 99)
Inequivalent atoms, fractional coordinates:
Zn: 0.000 0.000 0.000 [1 per cell]
W: 0.500 0.500 0.777 [1 per cell]
Br: 0.000 0.000 0.590 [1 per cell]
Br: 0.500 0.500 0.207 [1 per cell]

x) # ZnWBr2

A relaxed ZnWBr2 crystal (PBEsol, Alexandria via LeMat-Bulk).

Unit cell a=3.059 b=4.508 c=13.433 alpha=90.00 beta=90.00 gamma=90.00
Space group Immm (No. 71)
Inequivalent atoms, fractional coordinates:
Zn: 0.000 0.000 0.000 [2 per cell]
W: 0.000 0.000 0.500 [2 per cell]
Br: 0.000 0.500 0.154 [4 per cell]

Least stable: w)

w) # ZrC

A relaxed ZrC crystal (PBEsol, Alexandria via LeMat-Bulk).

Unit cell a=4.0236 b=4.0236 c=11.9683 alpha=90.00 beta=90.00 gamma=120.00
Space group R-3m (No. 166, hexagonal axes)
Inequivalent atoms, fractional coordinates:
Zr: 0.0000 0.0000 0.2438 [6 per cell]
C: 0.0000 0.0000 0.0604 [6 per cell]

x) # ZrC

A relaxed ZrC crystal (PBEsol, Alexandria via LeMat-Bulk).

Unit cell a=5.049 b=5.049 c=5.049 alpha=90.00 beta=90.00 gamma=90.00
Space group F-43m (No. 216)
Inequivalent atoms, fractional coordinates:
Zr: 0.000 0.000 0.000 [4 per cell]
C: 0.250 0.250 0.250 [4 per cell]

Least stable: w)